# 1
Ho5Se4S: relaxed, PBE.

The energy above the lowest structure with this stoichiometry comes out at 0.0 meV/atom. Its space group is R-3m, No. 166. The raw formation energy is -1769 meV/atom.

```
Ho5Se4S
1.0
-3.847 -0.763 -0.871
-1.484 -3.696 0.526
-6.040 2.418 15.301
Ho Se S
5 4 1
Direct
0.401 0.401 0.798
0.196 0.196 0.411
0.000 0.000 0.000
0.599 0.599 0.202
0.804 0.804 0.589
0.701 0.701 0.898
0.898 0.898 0.306
0.102 0.102 0.694
0.299 0.299 0.102
0.500 0.500 0.500
```

# 2
AlAgBi2: relaxed, PBE.

The calculation puts the formation energy at 120 kJ/mol of formula units. Its space group is R-3m, No. 166.

```
AlAgBi2
1.0
3.378 0.000 0.000
1.689 2.925 0.000
1.689 0.975 10.957
Al Bi Ag
1 2 1
Direct
0.500 0.500 0.500
0.911 0.911 0.266
0.089 0.089 0.734
0.000 0.000 0.000
```

# 3
RbHoHg2Cl8: relaxed, PBE.

Its space group is P-1, No. 2. The raw formation energy is -1362 meV/atom.

```
RbHoHg2Cl8
1.0
6.674 0.246 0.565
0.254 6.802 1.108
0.725 1.567 9.086
Hg Cl Ho Rb
2 8 1 1
Direct
0.530 0.536 0.267
0.470 0.464 0.733
0.800 0.189 0.181
0.677 0.766 0.024
0.323 0.234 0.976
0.200 0.811 0.819
0.132 0.735 0.245
0.414 0.265 0.495
0.868 0.265 0.755
0.586 0.735 0.505
0.000 0.000 0.000
0.000 0.000 0.500
```

# 4
Sr3CdAg6Hg2: relaxed, PBE.

The calculation puts the formation energy at -221 kJ/mol of formula units. Its space group is P-3m1, No. 164.

```
Sr3CdAg6Hg2
1.0
6.147 0.000 0.000
-3.073 5.323 0.000
0.000 0.000 9.347
Hg Ag Sr Cd
2 6 3 1
Direct
0.333 0.667 0.978
0.667 0.333 0.022
0.357 0.179 0.728
0.821 0.179 0.728
0.179 0.821 0.272
0.643 0.821 0.272
0.821 0.643 0.728
0.179 0.357 0.272
0.333 0.667 0.604
0.667 0.333 0.396
0.000 0.000 0.000
0.000 0.000 0.500
```

# 5
Rb3Tb3UTe8: relaxed, PBE.

Its space group is C2/m, No. 12. The raw formation energy is -1237 meV/atom.

```
Rb3Tb3UTe8
1.0
8.962 0.000 0.000
-4.481 7.769 -0.036
0.000 -5.146 8.741
Tb Te Rb U
3 8 3 1
Direct
0.500 0.500 0.500
0.500 0.000 0.500
0.000 0.500 0.500
0.734 0.965 0.697
0.267 0.533 0.300
0.733 0.467 0.700
0.768 0.537 0.303
0.768 0.035 0.303
0.232 0.463 0.697
0.266 0.035 0.303
0.232 0.965 0.697
0.000 0.500 0.000
0.000 0.000 0.000
0.500 0.500 0.000
0.000 0.000 0.500
```

# 6
CaAsI2: relaxed, PBE.

The energy above the lowest structure with this stoichiometry comes out at 0.0 meV/atom. Its space group is I-42d, No. 122. The raw formation energy is -364 meV/atom.

```
CaAsI2
1.0
-2.858 0.274 -4.564
2.004 -4.763 -1.540
-8.043 -6.901 1.438
Ca I As
2 4 2
Direct
0.500 0.500 0.000
0.250 0.750 0.500
0.111 0.625 0.250
0.875 0.889 0.750
0.375 0.361 0.750
0.639 0.125 0.250
0.750 0.250 0.500
0.000 0.000 0.000
```

# 7
Tb2Tm4N: relaxed, PBE.

Its space group is I4/mmm, No. 139. The raw formation energy is -291 meV/atom.

```
Tb2Tm4N
1.0
4.697 0.000 0.000
0.000 4.697 0.000
2.349 2.349 8.771
N Tm Tb
1 4 2
Direct
0.000 0.000 0.000
0.132 0.132 0.737
0.000 0.500 0.000
0.868 0.868 0.263
0.500 0.000 0.000
0.672 0.672 0.657
0.328 0.328 0.343
```

# 8
CuAgOs2: relaxed, PBE.

The calculation puts the formation energy at 205 kJ/mol of formula units. The energy above the lowest structure with this stoichiometry comes out at 220.8 meV/atom. Its space group is Cmm2, No. 35.

```
CuAgOs2
1.0
2.698 -0.003 0.000
-1.264 2.383 0.000
0.000 0.000 9.384
Os Cu Ag
2 1 1
Direct
0.500 0.500 0.234
0.000 0.000 0.998
0.500 0.500 0.757
0.000 0.000 0.510
```